! PBE-GGA Ca4Sm9Cd11, optimized geometry; values from VASP
&SYSTEM
  ibrav = 0, nat = 24, ntyp = 3
/
ATOMIC_SPECIES
Ca 40.08 Ca.upf
Sm 150.36 Sm.upf
Cd 112.41 Cd.upf
CELL_PARAMETERS angstrom
3.517 0.000 0.000
0.000 13.354 -4.956
0.000 0.691 14.227
ATOMIC_POSITIONS crystal
Ca 0.500 0.589 0.755
Ca 0.500 0.411 0.245
Ca 0.500 0.755 0.589
Ca 0.500 0.245 0.411
Sm 0.500 0.617 0.159
Sm 0.500 0.383 0.841
Sm 0.500 0.159 0.617
Sm 0.500 0.841 0.383
Sm 0.500 0.795 0.985
Sm 0.500 0.205 0.015
Sm 0.500 0.985 0.795
Sm 0.500 0.015 0.205
Sm 0.500 0.500 0.500
Cd 0.000 0.589 0.954
Cd 0.000 0.411 0.046
Cd 0.000 0.954 0.589
Cd 0.000 0.046 0.411
Cd 0.000 0.627 0.373
Cd 0.000 0.373 0.627
Cd 0.000 0.818 0.182
Cd 0.000 0.182 0.818
Cd 0.000 0.000 0.000
Cd 0.000 0.792 0.792
Cd 0.000 0.208 0.208
! - Total magnetic moment: 0.00 μB per formula unit
! - Energy of formation from the pure elements: -581 kJ/mol of formula units
! - Crystal system: orthorhombic



! PBE-GGA CaZrSeBr2, optimized geometry; values from VASP
&SYSTEM
  ibrav = 0, nat = 5, ntyp = 4
/
ATOMIC_SPECIES
Ca 40.08 Ca.upf
Se 78.96 Se.upf
Br 79.90 Br.upf
Zr 91.22 Zr.upf
CELL_PARAMETERS angstrom
-3.033 3.985 -1.756
-3.572 -3.500 -1.775
-2.666 0.180 5.011
ATOMIC_POSITIONS crystal
Ca 0.000 0.000 0.000
Se 0.000 0.000 0.500
Br 0.000 0.500 0.000
Br 0.500 0.000 0.000
Zr 0.500 0.500 0.500
! - Total magnetic moment: 2.00 μB per formula unit
! - E above lowest polymorph: 2.59 eV/f.u.
! - Crystal system: tetragonal



! PBE-GGA UCuRhO6, optimized geometry; values from VASP
&SYSTEM
  ibrav = 0, nat = 18, ntyp = 4
/
ATOMIC_SPECIES
U 238.03 U.upf
Cu 63.55 Cu.upf
Rh 102.91 Rh.upf
O 16.00 O.upf
CELL_PARAMETERS angstrom
5.193 0.000 0.000
-2.596 4.497 0.000
0.000 0.000 9.040
ATOMIC_POSITIONS crystal
U 0.667 0.333 0.250
U 0.333 0.667 0.750
Cu 0.333 0.667 0.250
Cu 0.667 0.333 0.750
Rh 0.000 0.000 0.000
Rh 0.000 0.000 0.500
O 0.675 0.676 0.125
O 0.000 0.325 0.125
O 0.325 0.000 0.625
O 0.000 0.675 0.875
O 0.324 0.325 0.375
O 0.000 0.676 0.375
O 0.676 0.000 0.875
O 0.675 0.000 0.375
O 0.000 0.324 0.625
O 0.324 0.000 0.125
O 0.676 0.675 0.625
O 0.325 0.324 0.875
! - Total magnetic moment: 2.00 μB per formula unit
! - Total energy: -7.430 eV per atom
! - Crystal system: trigonal



! PBE-GGA SrCdInNi, optimized geometry; values from VASP
&SYSTEM
  ibrav = 0, nat = 8, ntyp = 4
/
ATOMIC_SPECIES
Sr 87.62 Sr.upf
Cd 112.41 Cd.upf
In 114.82 In.upf
Ni 58.69 Ni.upf
CELL_PARAMETERS angstrom
4.967 0.000 0.013
0.000 4.333 0.000
-2.950 0.000 9.815
ATOMIC_POSITIONS crystal
Sr 0.823 0.000 0.874
Sr 0.823 0.500 0.374
Cd 0.433 0.000 0.530
Cd 0.433 0.500 0.030
In 0.212 0.000 0.216
In 0.212 0.500 0.716
Ni 0.677 0.000 0.153
Ni 0.677 0.500 0.653
! - Total magnetic moment: 0.00 μB per formula unit
! - E above lowest polymorph: 0.07 eV/f.u.
! - Energy of formation from the pure elements: -69 kJ/mol of formula units
! - Crystal system: monoclinic



! PBE-GGA LiBe2Fe, optimized geometry; values from VASP
&SYSTEM
  ibrav = 0, nat = 4, ntyp = 3
/
ATOMIC_SPECIES
Be 9.01 Be.upf
Fe 55.84 Fe.upf
Li 6.94 Li.upf
CELL_PARAMETERS angstrom
4.381 -0.012 0.023
3.744 2.274 0.023
1.174 0.327 3.880
ATOMIC_POSITIONS crystal
Be 0.981 0.981 0.958
Be 0.267 0.267 0.301
Fe 0.519 0.519 0.433
Li 0.733 0.733 0.808
! - Total magnetic moment: 1.38 μB per formula unit
! - Energy of formation from the pure elements: 31 kJ/mol of formula units
! - Crystal system: monoclinic



! PBE-GGA NaAuN2O, optimized geometry; values from VASP
&SYSTEM
  ibrav = 0, nat = 5, ntyp = 4
/
ATOMIC_SPECIES
Na 22.99 Na.upf
Au 196.97 Au.upf
O 16.00 O.upf
N 14.01 N.upf
CELL_PARAMETERS angstrom
-1.409 -0.750 3.942
-1.075 -3.954 -1.137
3.670 -1.304 1.064
ATOMIC_POSITIONS crystal
Na 0.000 0.000 0.000
Au 0.500 0.500 0.500
O 0.000 0.000 0.500
N 0.000 0.500 0.000
N 0.500 0.000 0.000
! - Total magnetic moment: 0.43 μB per formula unit
! - Total energy: -2.786 eV per atom
! - Crystal system: tetragonal



! PBE-GGA ZrCdAu, optimized geometry; values from VASP
&SYSTEM
  ibrav = 0, nat = 3, ntyp = 3
/
ATOMIC_SPECIES
Au 196.97 Au.upf
Zr 91.22 Zr.upf
Cd 112.41 Cd.upf
CELL_PARAMETERS angstrom
4.813 0.000 0.000
-2.407 4.168 0.000
0.000 0.000 2.979
ATOMIC_POSITIONS crystal
Au 0.000 0.000 0.166
Zr 0.333 0.667 0.667
Cd 0.667 0.333 0.167
! - Total magnetic moment: 0.00 μB per formula unit
! - Energy of formation from the pure elements: -93 kJ/mol of formula units
! - Crystal system: hexagonal



! PBE-GGA Y3Ho2In2, optimized geometry; values from VASP
&SYSTEM
  ibrav = 0, nat = 7, ntyp = 3
/
ATOMIC_SPECIES
Y 88.91 Y.upf
Ho 164.93 Ho.upf
In 114.82 In.upf
CELL_PARAMETERS angstrom
5.385 0.000 -0.001
-2.692 4.654 -0.285
-0.001 -2.616 8.172
ATOMIC_POSITIONS crystal
Y 0.500 0.000 0.000
Y 0.653 0.306 0.459
Y 0.347 0.694 0.541
Ho 0.924 0.848 0.272
Ho 0.076 0.152 0.728
In 0.783 0.566 0.849
In 0.217 0.434 0.151
! - Total magnetic moment: 0.00 μB per formula unit
! - E above lowest polymorph: 0.00 eV/f.u.
! - Energy of formation from the pure elements: -190 kJ/mol of formula units
! - Crystal system: trigonal